CaNi | Alexandria via LeMat-Bulk | PBE | relaxed; DFT formation energy = 0.28 eV/atom; crystal system = hexagonal; final energy = -7.21 eV/f.u.
1.0
3.8375 0.0000 0.0000
-1.9188 3.3234 0.0000
0.0000 0.0000 3.5884
Ca Ni
1 1
Cartesian
0.0000 0.0000 0.0000
1.9188 1.1078 1.7942

***

CaNi | Alexandria via LeMat-Bulk | PBE | relaxed; DFT formation energy = 0.13 eV/atom; crystal system = tetragonal; final energy = -7.52 eV/f.u.
1.0
10.0141 0.0000 0.0000
0.0000 10.0141 0.0000
0.0000 0.0000 3.9531
Ca Ni
8 8
Cartesian
1.0741 7.7488 0.0000
2.2653 1.0741 0.0000
2.7418 3.9329 1.9766
3.9329 7.2723 1.9766
6.0812 2.7418 1.9766
7.2723 6.0812 1.9766
7.7488 8.9400 0.0000
8.9400 2.2653 0.0000
0.5059 6.0162 1.9766
1.0091 4.5011 0.0000
3.9979 0.5059 1.9766
4.5011 9.0050 0.0000
5.5130 1.0091 0.0000
6.0162 9.5082 1.9766
9.0050 5.5130 0.0000
9.5082 3.9979 1.9766

***

CaNp2Ni9 | Alexandria via LeMat-Bulk | PBE | relaxed; DFT formation energy = -0.15 eV/atom; crystal system = trigonal; final energy = -81.70 eV/f.u.
1.0
2.4603 1.4205 8.1088
-2.4603 1.4205 8.1088
0.0000 -2.8409 8.1088
Ca Np Ni
1 2 9
Cartesian
0.0000 0.0000 0.0000
0.0000 0.0000 3.4916
0.0000 0.0000 20.8347
-1.2318 -0.7112 10.1203
0.0000 0.0000 8.0916
0.0000 -1.4224 14.2060
-1.2318 0.7112 14.2060
0.0000 0.0000 12.1631
1.2318 -0.7112 10.1203
0.0000 1.4224 10.1203
0.0000 0.0000 16.2347
1.2318 0.7112 14.2060

***

CaNpNi2 | Alexandria via LeMat-Bulk | PBE | relaxed; DFT formation energy = 0.06 eV/atom; crystal system = tetragonal; final energy = -26.27 eV/f.u.
1.0
3.3454 0.0000 0.0000
0.0000 3.3454 0.0000
0.0000 0.0000 6.9884
Ca Np Ni
1 1 2
Cartesian
0.0000 0.0000 0.0000
0.0000 0.0000 3.4942
1.6727 1.6727 2.0939
1.6727 1.6727 4.8945

***

Copy entry 1 word for word.
CaNi | Alexandria via LeMat-Bulk | PBE | relaxed; DFT formation energy = 0.28 eV/atom; crystal system = hexagonal; final energy = -7.21 eV/f.u.
1.0
3.8375 0.0000 0.0000
-1.9188 3.3234 0.0000
0.0000 0.0000 3.5884
Ca Ni
1 1
Cartesian
0.0000 0.0000 0.0000
1.9188 1.1078 1.7942